(P)
Material: LiLa2CdPt
Method: DFT, GGA-PBE
State: optimized geometry

Computed properties:
The crystal system is tetragonal. Its theoretical density is 6402 kg/m³.

Cell and atoms, written as CIF:
```
data_LiLa2CdPt
_symmetry_space_group_name_H-M 'P 4/m m m'
_symmetry_Int_Tables_number 123
_symmetry_space_group_name_Hall '-P 4 2'
_cell_length_a 5.6346
_cell_length_b 5.6346
_cell_length_c 4.8385
_cell_angle_alpha 90.00
_cell_angle_beta 90.00
_cell_angle_gamma 90.00
loop_
_atom_site_label
_atom_site_fract_x
_atom_site_fract_y
_atom_site_fract_z
Li1 0.0000 0.0000 0.0000
La1 0.0000 0.5000 0.5000
Cd1 0.5000 0.5000 0.0000
Pt1 0.0000 0.0000 0.5000
```



(Q)
Material: LiLa2CdPt
Method: DFT, GGA-PBE
State: optimized geometry

Computed properties:
The crystal system is monoclinic. Its theoretical density is 7297 kg/m³.

Cell and atoms, written as CIF:
```
data_LiLa2CdPt
_symmetry_space_group_name_H-M 'P 1 21/m 1'
_symmetry_Int_Tables_number 11
_cell_length_a 7.7998
_cell_length_b 4.6300
_cell_length_c 7.9005
_cell_angle_alpha 90.00
_cell_angle_beta 109.13
_cell_angle_gamma 90.00
loop_
_symmetry_equiv_pos_as_xyz
'x,y,z'
'-x,-y,-z'
'-x,y+1/2,-z'
'x,-y+1/2,z'
loop_
_atom_site_label
_atom_site_fract_x
_atom_site_fract_y
_atom_site_fract_z
Li1 0.0584 0.2500 0.1629
La1 0.2169 0.7500 0.5428
La2 0.3906 0.7500 0.1675
Cd1 0.1633 0.2500 0.8442
Pt1 0.3819 0.2500 0.4098
```



The data favor (Q); the next most stable structure lies 134 meV per atom above it.



(P)
Material: LiLa2CdRh
Method: DFT, GGA-PBE
State: optimized geometry

Computed properties:
The crystal system is tetragonal. Its theoretical density is 5617 kg/m³.

Cell and atoms, written as CIF:
```
data_LiLa2CdRh
_symmetry_space_group_name_H-M 'P 4/m m m'
_symmetry_Int_Tables_number 123
_symmetry_space_group_name_Hall '-P 4 2'
_cell_length_a 5.4439
_cell_length_b 5.4439
_cell_length_c 4.9885
_cell_angle_alpha 90.00
_cell_angle_beta 90.00
_cell_angle_gamma 90.00
loop_
_atom_site_label
_atom_site_fract_x
_atom_site_fract_y
_atom_site_fract_z
Li1 0.0000 0.0000 0.0000
La1 0.0000 0.5000 0.5000
Cd1 0.5000 0.5000 0.0000
Rh1 0.0000 0.0000 0.5000
```



(Q)
Material: LiLa2CdRh
Method: DFT, GGA-PBE
State: optimized geometry

Computed properties:
The crystal system is monoclinic. Its theoretical density is 6262 kg/m³.

Cell and atoms, written as CIF:
```
data_LiLa2CdRh
_symmetry_space_group_name_H-M 'P 1 21/m 1'
_symmetry_Int_Tables_number 11
_cell_length_a 7.9153
_cell_length_b 4.2831
_cell_length_c 8.2081
_cell_angle_alpha 90.00
_cell_angle_beta 107.61
_cell_angle_gamma 90.00
loop_
_symmetry_equiv_pos_as_xyz
'x,y,z'
'-x,-y,-z'
'-x,y+1/2,-z'
'x,-y+1/2,z'
loop_
_atom_site_label
_atom_site_fract_x
_atom_site_fract_y
_atom_site_fract_z
Li1 0.0643 0.2500 0.1596
La1 0.2289 0.7500 0.5375
La2 0.3952 0.7500 0.1638
Cd1 0.1614 0.2500 0.8381
Rh1 0.3812 0.2500 0.3962
```



(R)
Material: LiLa2CdRh
Method: DFT, GGA-PBE
State: optimized geometry

Computed properties:
The crystal system is tetragonal. Its theoretical density is 5205 kg/m³.

Cell and atoms, written as CIF:
```
data_LiLa2CdRh
_symmetry_space_group_name_H-M 'P 4/m m m'
_symmetry_Int_Tables_number 123
_symmetry_space_group_name_Hall '-P 4 2'
_cell_length_a 5.4549
_cell_length_b 5.4549
_cell_length_c 5.3619
_cell_angle_alpha 90.00
_cell_angle_beta 90.00
_cell_angle_gamma 90.00
loop_
_atom_site_label
_atom_site_fract_x
_atom_site_fract_y
_atom_site_fract_z
Li1 0.0000 0.0000 0.0000
La1 0.0000 0.5000 0.5000
Cd1 0.5000 0.5000 0.0000
Rh1 0.5000 0.5000 0.5000
```



The data favor (Q); the next most stable structure lies 116 meV per atom above it.



(P)
Material: LiLa2CdRu
Method: DFT, GGA-PBE
State: optimized geometry

Computed properties:
The crystal system is tetragonal. Its theoretical density is 5287 kg/m³.

Cell and atoms, written as CIF:
```
data_LiLa2CdRu
_symmetry_space_group_name_H-M 'P 4/m m m'
_symmetry_Int_Tables_number 123
_symmetry_space_group_name_Hall '-P 4 2'
_cell_length_a 5.3588
_cell_length_b 5.3588
_cell_length_c 5.4492
_cell_angle_alpha 90.00
_cell_angle_beta 90.00
_cell_angle_gamma 90.00
loop_
_atom_site_label
_atom_site_fract_x
_atom_site_fract_y
_atom_site_fract_z
Li1 0.0000 0.0000 0.0000
La1 0.0000 0.5000 0.5000
Cd1 0.5000 0.5000 0.0000
Ru1 0.5000 0.5000 0.5000
```



(Q)
Material: LiLa2CdRu
Method: DFT, GGA-PBE
State: optimized geometry

Computed properties:
The crystal system is tetragonal. Its theoretical density is 5735 kg/m³.

Cell and atoms, written as CIF:
```
data_LiLa2CdRu
_symmetry_space_group_name_H-M 'P 4/m m m'
_symmetry_Int_Tables_number 123
_symmetry_space_group_name_Hall '-P 4 2'
_cell_length_a 5.3198
_cell_length_b 5.3198
_cell_length_c 5.0978
_cell_angle_alpha 90.00
_cell_angle_beta 90.00
_cell_angle_gamma 90.00
loop_
_atom_site_label
_atom_site_fract_x
_atom_site_fract_y
_atom_site_fract_z
Li1 0.0000 0.0000 0.0000
La1 0.0000 0.5000 0.5000
Cd1 0.5000 0.5000 0.0000
Ru1 0.0000 0.0000 0.5000
```



The data favor (Q); the next most stable structure lies 11 meV per atom above it.



(P)
Material: LiLaTl2Cd
Method: DFT, GGA-PBE
State: optimized geometry

Computed properties:
The crystal system is tetragonal. Its theoretical density is 8565 kg/m³.

Cell and atoms, written as CIF:
```
data_LiLaTl2Cd
_symmetry_space_group_name_H-M 'P 4/m m m'
_symmetry_Int_Tables_number 123
_symmetry_space_group_name_Hall '-P 4 2'
_cell_length_a 5.1016
_cell_length_b 5.1016
_cell_length_c 4.9685
_cell_angle_alpha 90.00
_cell_angle_beta 90.00
_cell_angle_gamma 90.00
loop_
_atom_site_label
_atom_site_fract_x
_atom_site_fract_y
_atom_site_fract_z
Li1 0.0000 0.0000 0.0000
La1 0.5000 0.5000 0.5000
Tl1 0.0000 0.5000 0.0000
Cd1 0.0000 0.0000 0.5000
```



(Q)
Material: LiLaTl2Cd
Method: DFT, GGA-PBE
State: optimized geometry

Computed properties:
The crystal system is orthorhombic. Its theoretical density is 8460 kg/m³.

Cell and atoms, written as CIF:
```
data_LiLaTl2Cd
_symmetry_space_group_name_H-M 'P m m a'
_symmetry_Int_Tables_number 51
_cell_length_a 5.8028
_cell_length_b 6.7977
_cell_length_c 6.6384
_cell_angle_alpha 90.00
_cell_angle_beta 90.00
_cell_angle_gamma 90.00
loop_
_symmetry_equiv_pos_as_xyz
'x,y,z'
'-x,-y,-z'
'-x+1/2,-y,z'
'x+1/2,y,-z'
'x+1/2,-y,-z'
'-x+1/2,y,z'
'-x,y,-z'
'x,-y,z'
loop_
_atom_site_label
_atom_site_fract_x
_atom_site_fract_y
_atom_site_fract_z
Li1 0.0000 0.0000 0.0000
La1 0.2500 0.5000 0.2177
Tl1 0.2500 0.2582 0.7161
Cd1 0.2500 0.0000 0.3472
```



The data favor (Q); the next most stable structure lies 36 meV per atom above it.



(P)
Material: LaLu2Cd
Method: DFT, GGA-PBE
State: optimized geometry

Computed properties:
The crystal system is trigonal. Its theoretical density is 8456 kg/m³.

Cell and atoms, written as CIF:
```
data_LaLu2Cd
_symmetry_space_group_name_H-M 'R -3 m'
_symmetry_Int_Tables_number 166
_symmetry_space_group_name_Hall '-R 3 2"'
_cell_length_a 3.5597
_cell_length_b 3.5597
_cell_length_c 32.2783
_cell_angle_alpha 90.00
_cell_angle_beta 90.00
_cell_angle_gamma 120.00
loop_
_atom_site_label
_atom_site_fract_x
_atom_site_fract_y
_atom_site_fract_z
La1 0.0000 0.0000 0.0000
Lu1 0.0000 0.0000 0.2423
Cd1 0.0000 0.0000 0.5000
```



(Q)
Material: LaLu2Cd
Method: DFT, GGA-PBE
State: optimized geometry

Computed properties:
The crystal system is cubic. Its theoretical density is 8839 kg/m³.

Cell and atoms, written as CIF:
```
data_LaLu2Cd
_symmetry_space_group_name_H-M 'F m -3 m'
_symmetry_Int_Tables_number 225
_symmetry_space_group_name_Hall '-F 4 2 3'
_cell_length_a 7.6735
_cell_length_b 7.6735
_cell_length_c 7.6735
_cell_angle_alpha 90.00
_cell_angle_beta 90.00
_cell_angle_gamma 90.00
loop_
_atom_site_label
_atom_site_fract_x
_atom_site_fract_y
_atom_site_fract_z
La1 0.0000 0.0000 0.0000
Lu1 0.2500 0.2500 0.2500
Cd1 0.0000 0.0000 0.5000
```



The data favor (P); the next most stable structure lies 130 meV per atom above it.



(P)
Material: LaLu2Cd
Method: DFT, GGA-PBE
State: optimized geometry

Computed properties:
The crystal system is tetragonal. Its theoretical density is 8603 kg/m³.

Cell and atoms, written as CIF:
```
data_LaLu2Cd
_symmetry_space_group_name_H-M 'P 4/m m m'
_symmetry_Int_Tables_number 123
_symmetry_space_group_name_Hall '-P 4 2'
_cell_length_a 4.8641
_cell_length_b 4.8641
_cell_length_c 4.9048
_cell_angle_alpha 90.00
_cell_angle_beta 90.00
_cell_angle_gamma 90.00
loop_
_atom_site_label
_atom_site_fract_x
_atom_site_fract_y
_atom_site_fract_z
La1 0.0000 0.0000 0.0000
Lu1 0.0000 0.5000 0.5000
Cd1 0.5000 0.5000 0.0000
```



(Q)
Material: LaLu2Cd
Method: DFT, GGA-PBE
State: optimized geometry

Computed properties:
The crystal system is tetragonal. Its theoretical density is 8544 kg/m³.

Cell and atoms, written as CIF:
```
data_LaLu2Cd
_symmetry_space_group_name_H-M 'P 4/m m m'
_symmetry_Int_Tables_number 123
_symmetry_space_group_name_Hall '-P 4 2'
_cell_length_a 3.6046
_cell_length_b 3.6046
_cell_length_c 8.9933
_cell_angle_alpha 90.00
_cell_angle_beta 90.00
_cell_angle_gamma 90.00
loop_
_atom_site_label
_atom_site_fract_x
_atom_site_fract_y
_atom_site_fract_z
La1 0.0000 0.0000 0.0000
Lu1 0.5000 0.5000 0.2857
Cd1 0.0000 0.0000 0.5000
```



The data favor (Q); the next most stable structure lies 59 meV per atom above it.